This record from Alexandria via LeMat-Bulk describes a relaxed GeB crystal. The functional is PBE.

Properties
* calculated density: 4.83 Mg/m³
* offset from the most stable computed form: 156 meV per atom
* total energy: -40.906 eV per cell
* Fermi-level density of states: 6.19 states/eV/cell
* ΔH_f (0 K): 534 meV/atom

Unit cell a=4.8586 b=4.8586 c=4.8586 alpha=90.00 beta=90.00 gamma=90.00
With the nearest neighbours (Å) after each atom.
Positions (direct):
Ge1 0.0000 0.0000 0.0000  4 B 2.10
Ge2 0.0000 0.5000 0.5000  4 B 2.10
Ge3 0.5000 0.0000 0.5000  4 B 2.10
Ge4 0.5000 0.5000 0.0000  4 B 2.10
B1 0.2500 0.2500 0.2500  4 Ge 2.10
B2 0.2500 0.7500 0.7500  4 Ge 2.10
B3 0.7500 0.2500 0.7500  4 Ge 2.10
B4 0.7500 0.7500 0.2500  4 Ge 2.10

This record from Alexandria via LeMat-Bulk describes a relaxed CuNiPd5 crystal. The functional is PBE.

Properties
* calculated density: 9.16 Mg/m³
* offset from the most stable computed form: 318 meV per atom
* total energy: -65.601 eV per cell
* Fermi-level density of states: 23.57 states/eV/cell
* ΔH_f (0 K): 434 meV/atom

Unit cell a=6.3505 b=6.3505 c=7.0568 alpha=66.18 beta=66.18 gamma=84.80
With the nearest neighbours (Å) after each atom.
Positions (direct):
Cu1 0.5273 0.4727 0.2500  7 Pd 2.39-2.54
Cu2 0.4727 0.5273 0.7500  7 Pd 2.39-2.54
Ni1 0.0000 0.0000 0.0000  6 Pd 2.42-2.58
Ni2 0.0000 0.0000 0.5000  6 Pd 2.42-2.58
Pd1 0.6252 0.7885 0.3367  2 Cu 2.51, 1 Ni 2.56, 3 Pd 2.65-2.80
Pd2 0.1710 0.6222 0.4749  1 Cu 2.54, 1 Ni 2.58, 5 Pd 2.61-2.80
Pd3 0.7885 0.6252 0.8367  2 Cu 2.51, 1 Ni 2.56, 3 Pd 2.65-2.80
Pd4 0.8068 0.1932 0.2500  1 Cu 2.39, 2 Ni 2.42, 2 Pd 2.65
Pd5 0.3778 0.8290 0.0251  1 Cu 2.54, 1 Ni 2.58, 5 Pd 2.61-2.80
Pd6 0.6222 0.1710 0.9749  1 Cu 2.54, 1 Ni 2.58, 5 Pd 2.61-2.80
Pd7 0.1932 0.8068 0.7500  1 Cu 2.39, 2 Ni 2.42, 2 Pd 2.65
Pd8 0.2115 0.3748 0.1633  2 Cu 2.51, 1 Ni 2.56, 3 Pd 2.65-2.80
Pd9 0.8290 0.3778 0.5251  1 Cu 2.54, 1 Ni 2.58, 5 Pd 2.61-2.80
Pd10 0.3748 0.2115 0.6633  2 Cu 2.51, 1 Ni 2.56, 3 Pd 2.65-2.80

This record from Alexandria via LeMat-Bulk describes a relaxed La4ZnAg crystal. The functional is PBE.

Properties
* calculated density: 6.58 Mg/m³
* offset from the most stable computed form: 0 meV per atom
* total energy: -24.887 eV per cell
* Fermi-level density of states: 7.46 states/eV/cell
* ΔH_f (0 K): -175 meV/atom

Unit cell a=3.8165 b=3.8165 c=12.6351 alpha=90.00 beta=90.00 gamma=90.00
With the nearest neighbours (Å) after each atom.
Positions (direct):
La1 0.5000 0.5000 0.8570  4 Zn 3.25, 1 La 3.61
La2 0.5000 0.5000 0.1430  4 Zn 3.25, 1 La 3.61
La3 0.0000 0.0000 0.6495  4 Ag 3.29
La4 0.0000 0.0000 0.3505  4 Ag 3.29
Zn1 0.0000 0.0000 0.0000  8 La 3.25
Ag1 0.5000 0.5000 0.5000  8 La 3.29

This record from Alexandria via LeMat-Bulk describes a relaxed PmSm2Pb3 crystal. The functional is PBE.

Properties
* calculated density: 10.04 Mg/m³
* offset from the most stable computed form: 0 meV per atom
* total energy: -56.657 eV per cell
* Fermi-level density of states: 9.60 states/eV/cell
* ΔH_f (0 K): -502 meV/atom

Unit cell a=5.0225 b=8.0836 c=9.1515 alpha=90.00 beta=90.00 gamma=71.90
With the nearest neighbours (Å) after each atom.
Positions (direct):
Pm1 0.3335 0.3329 0.0000  8 Pb 3.40-3.44, 2 Sm 3.58, 2 Pm 3.59
Pm2 0.6665 0.6671 0.0000  8 Pb 3.40-3.44, 2 Sm 3.58, 2 Pm 3.59
Sm1 0.0000 0.0000 0.0000  8 Pb 3.40-3.44, 4 Pm 3.58
Sm2 0.0000 0.0000 0.5000  8 Pb 3.39-3.43, 4 Sm 3.59
Sm3 0.3334 0.3332 0.5000  8 Pb 3.39-3.43, 4 Sm 3.59
Sm4 0.6666 0.6668 0.5000  8 Pb 3.39-3.43, 4 Sm 3.59
Pb1 0.8337 0.3330 0.7491  5 Sm 3.39-3.44, 3 Pm 3.40-3.44, 4 Pb 3.58-3.59
Pb2 0.4995 0.0000 0.2507  6 Sm 3.39-3.43, 2 Pm 3.44, 4 Pb 3.58-3.59
Pb3 0.1663 0.6670 0.2509  5 Sm 3.39-3.44, 3 Pm 3.40-3.44, 4 Pb 3.58-3.59
Pb4 0.8333 0.3330 0.2509  5 Sm 3.39-3.44, 3 Pm 3.40-3.44, 4 Pb 3.58-3.59
Pb5 0.1667 0.6670 0.7491  5 Sm 3.39-3.44, 3 Pm 3.40-3.44, 4 Pb 3.58-3.59
Pb6 0.5005 0.0000 0.7493  6 Sm 3.39-3.43, 2 Pm 3.44, 4 Pb 3.58-3.59

This record from Alexandria via LeMat-Bulk describes a relaxed BaNaNb crystal. The functional is PBE.

Properties
* calculated density: 3.46 Mg/m³
* offset from the most stable computed form: 553 meV per atom
* total energy: -21.293 eV per cell
* Fermi-level density of states: 4.08 states/eV/cell
* ΔH_f (0 K): 888 meV/atom

Unit cell a=5.8390 b=5.8390 c=8.2281 alpha=90.00 beta=90.00 gamma=120.00
With the nearest neighbours (Å) after each atom.
Positions (direct):
Na1 0.6667 0.3333 0.0000  6 Ba 4.00, 2 Na 4.11
Na2 0.6667 0.3333 0.5000  6 Nb 3.54, 6 Ba 3.90
Nb1 0.0000 0.0000 0.3688  1 Nb 2.16
Nb2 0.0000 0.0000 0.6312  1 Nb 2.16
Ba1 0.3333 0.6667 0.2614  3 Nb 3.49, 3 Na 3.90
Ba2 0.3333 0.6667 0.7386  3 Nb 3.49, 3 Na 3.90

This record from Alexandria via LeMat-Bulk describes a relaxed HfHRu crystal. The functional is PBE.

Properties
* calculated density: 12.27 Mg/m³
* offset from the most stable computed form: 49 meV per atom
* total energy: -188.198 eV per cell
* Fermi-level density of states: 11.11 states/eV/cell

Unit cell a=3.2322 b=7.6032 c=12.3559 alpha=90.00 beta=90.00 gamma=90.00
With the nearest neighbours (Å) after each atom.
Positions (direct):
Ru1 0.7500 0.5191 0.3336  3 H 1.81-1.95
Ru2 0.2500 0.0540 0.5908  1 H 1.84
Ru3 0.2500 0.5540 0.9092  1 H 1.84
Ru4 0.2500 0.9809 0.8336  3 H 1.81-1.95
Ru5 0.2500 0.4809 0.6664  3 H 1.81-1.95
Ru6 0.7500 0.9460 0.4092  1 H 1.84
Ru7 0.7500 0.0191 0.1664  3 H 1.81-1.95
Ru8 0.7500 0.4460 0.0908  1 H 1.84
Hf1 0.7500 0.8068 0.9783  3 H 2.19-2.38
Hf2 0.2500 0.6932 0.4783  3 H 2.19-2.38
Hf3 0.7500 0.3063 0.8094  3 H 2.15-2.26
Hf4 0.7500 0.3068 0.5217  3 H 2.19-2.38
Hf5 0.2500 0.6937 0.1906  3 H 2.15-2.26
Hf6 0.7500 0.8063 0.6906  3 H 2.15-2.26
Hf7 0.2500 0.1937 0.3094  3 H 2.15-2.26
Hf8 0.2500 0.1932 0.0217  3 H 2.19-2.38
H1 0.2500 0.9314 0.0965  2 Ru 1.95, 1 Hf 2.15
H2 0.2500 0.1459 0.7284  2 Ru 1.81-1.84
H3 0.2500 0.6459 0.7716  2 Ru 1.81-1.84
H4 0.7500 0.8541 0.2716  2 Ru 1.81-1.84
H5 0.7500 0.5686 0.5965  2 Ru 1.95, 1 Hf 2.15
H6 0.7500 0.0686 0.9035  2 Ru 1.95, 1 Hf 2.15
H7 0.2500 0.4314 0.4035  2 Ru 1.95, 1 Hf 2.15
H8 0.7500 0.3541 0.2284  2 Ru 1.81-1.84

This record from Alexandria via LeMat-Bulk describes a relaxed ZrScTl2 crystal. The functional is PBE.

Properties
* calculated density: 9.81 Mg/m³
* total energy: -20.215 eV per cell
* Fermi-level density of states: 3.51 states/eV/cell
* ΔH_f (0 K): -151 meV/atom

Unit cell a=4.3214 b=3.2474 c=7.3370 alpha=63.67 beta=90.00 gamma=90.00
With the nearest neighbours (Å) after each atom.
Positions (direct):
Sc1 0.5000 0.7500 0.7500  8 Tl 3.16, 2 Sc 3.25, 2 Zr 3.29
Tl1 0.0000 0.0021 0.9980  4 Sc 3.16, 4 Zr 3.17, 4 Tl 3.25-3.31
Tl2 0.0000 0.4979 0.5020  4 Sc 3.16, 4 Zr 3.17, 4 Tl 3.25-3.31
Zr1 0.5000 0.2500 0.2500  8 Tl 3.17, 2 Zr 3.25, 2 Sc 3.29

This record from Alexandria via LeMat-Bulk describes a relaxed BaAcSe3 crystal. The functional is PBE.

Properties
* calculated density: 4.64 Mg/m³
* total energy: -23.882 eV per cell
* Fermi-level density of states: 7.66 states/eV/cell

Unit cell a=6.0038 b=6.0038 c=6.0038 alpha=86.14 beta=86.14 gamma=86.14
With the nearest neighbours (Å) after each atom.
Positions (direct):
Ba1 0.9736 0.9736 0.9736  3 Se 3.25
Ac1 0.5650 0.5650 0.5650  6 Se 2.99-3.04
Se1 0.6020 0.6020 0.0643  2 Ac 2.99-3.04, 1 Ba 3.25
Se2 0.6020 0.0643 0.6020  2 Ac 2.99-3.04, 1 Ba 3.25
Se3 0.0643 0.6020 0.6020  2 Ac 2.99-3.04, 1 Ba 3.25

Which of these has the highest Fermi-level density of states? CuNiPd5

Number 1 is which compound? GeB

What is the formula in the fourth record? PmSm2Pb3